The following is a PBE calculation of a relaxed LiB2C2 crystal, from Alexandria.

Summary:
distance to the lowest polymorph of the same formula: 0.924 kcal/mol of atoms

Unit cell a=15.4269 b=2.6881 c=9.4165 alpha=90.00 beta=108.37 gamma=90.00
Closest atoms and distances in Å follow each position.
Space group C2/m (No. 12)
Inequivalent atoms, fractional coordinates:
1 Li 0.0050 0.0000 0.2590 x4  6 C 2.34-2.40, 6 B 2.39-2.42
2 Li 0.2467 0.5000 0.6444 x4  6 C 2.36-2.51, 6 B 2.38-2.45
3 B 0.1177 0.0000 0.6365 x4  3 C 1.55-1.57
4 B 0.1198 0.5000 0.8879 x4  3 C 1.55-1.56
5 B 0.1221 0.0000 0.1373 x4  3 C 1.54-1.58
6 B 0.1322 0.5000 0.3961 x4  3 C 1.56
7 C 0.1147 0.5000 0.7209 x4  3 B 1.55-1.57
8 C 0.1185 0.0000 0.9721 x4  3 B 1.54-1.56
9 C 0.1268 0.5000 0.2278 x4  3 B 1.56-1.58
10 C 0.1322 0.0000 0.4810 x4  3 B 1.55-1.56

=====

The following is a PBE calculation of a relaxed TmTl2Zn crystal, from Alexandria.

Unit cell a=3.7139 b=3.7139 c=7.1035 alpha=90.00 beta=90.00 gamma=90.00
Closest atoms and distances in Å follow each position.
Space group P4/mmm (No. 123)
Inequivalent atoms, fractional coordinates:
1 Tm 0.0000 0.0000 0.0000 x1  8 Tl 3.27, 2 Zn 3.55
2 Tl 0.5000 0.5000 0.2747 x2  4 Zn 3.08, 1 Tl 3.20, 4 Tm 3.27
3 Zn 0.0000 0.0000 0.5000 x1  8 Tl 3.08

=====

The following is a PBE calculation of a relaxed MgSiSb2 crystal, from Alexandria.

Summary:
energy relative to the elements, uncorrected: 0.1263 eV/atom

Unit cell a=3.1789 b=4.7563 c=6.6612 alpha=90.00 beta=103.40 gamma=90.00
Closest atoms and distances in Å follow each position.
Space group Pm (No. 6)
Inequivalent atoms, fractional coordinates:
1 Mg 0.0000 0.0000 0.0000 x1  6 Sb 3.10-3.19, 2 Mg 3.18, 4 Si 3.21
2 Si 0.3892 0.5000 0.7755 x1  3 Sb 2.67-2.71
3 Sb 0.2883 0.0000 0.5750 x1  2 Si 2.71
4 Sb 0.5929 0.5000 0.1875 x1  1 Si 2.67

=====

The following is a PBE calculation of a relaxed SrRePS2 crystal, from Alexandria.

Summary:
energy relative to the elements, uncorrected: 1.6679 eV/atom
distance to the lowest polymorph of the same formula: 48.556 kcal/mol of atoms

Unit cell a=5.4343 b=5.4343 c=5.7146 alpha=90.00 beta=90.00 gamma=90.00
Closest atoms and distances in Å follow each position.
Space group P4/mmm (No. 123)
Inequivalent atoms, fractional coordinates:
1 Sr 0.0000 0.0000 0.0000 x1  4 S 2.72, 2 P 2.86
2 Re 0.5000 0.5000 0.5000 x1  4 P 3.84, 8 S 3.94
3 P 0.0000 0.0000 0.5000 x1  2 Sr 2.86
4 S 0.0000 0.5000 0.0000 x2  2 Sr 2.72

=====

The following is a PBE calculation of a relaxed RbZnCl3 crystal, from Alexandria.

Summary:
energy relative to the elements, uncorrected: -1.0862 eV/atom

Unit cell a=5.7851 b=5.7851 c=19.9917 alpha=90.00 beta=90.00 gamma=90.00
Closest atoms and distances in Å follow each position.
Space group I-4m2 (No. 119)
Inequivalent atoms, fractional coordinates:
1 Rb 0.0000 0.0000 0.1078 x4  8 Cl 3.46-3.75
2 Zn 0.0000 0.0000 0.5000 x2  4 Cl 2.90
3 Zn 0.0000 0.5000 0.2500 x2  4 Cl 2.25
4 Cl 0.0000 0.2402 0.3341 x8  1 Zn 2.25
5 Cl 0.0000 0.5000 0.5117 x4  2 Zn 2.90

=====

The following is a PBE calculation of a relaxed Pr2DyEr3S6 crystal, from Alexandria.

Summary:
energy relative to the elements, uncorrected: -1.9833 eV/atom

Unit cell a=17.2921 b=3.9163 c=7.9962 alpha=90.00 beta=104.41 gamma=90.00
Closest atoms and distances in Å follow each position.
Space group C2/m (No. 12)
Inequivalent atoms, fractional coordinates:
1 Pr 0.1675 0.0000 0.3350 x4  6 S 2.87-2.90
2 Dy 0.0000 0.5000 0.0000 x2  6 S 2.80-2.82
3 Er 0.0000 0.5000 0.5000 x2  6 S 2.70-2.78
4 Er 0.1689 0.0000 0.8336 x4  6 S 2.71-2.76
5 S 0.0055 0.0000 0.7499 x4  3 Er 2.74-2.78, 2 Dy 2.82, 1 Pr 2.90
6 S 0.1612 0.5000 0.5961 x4  3 Er 2.70-2.71, 3 Pr 2.87-2.88
7 S 0.1666 0.5000 0.0682 x4  3 Er 2.72-2.76, 1 Dy 2.80, 2 Pr 2.89

=====

The following is a PBE calculation of a relaxed Ca2InBRh crystal, from Alexandria.

Unit cell a=5.5706 b=5.5706 c=4.0440 alpha=90.00 beta=90.00 gamma=90.00
Closest atoms and distances in Å follow each position.
Space group P4/mmm (No. 123)
Inequivalent atoms, fractional coordinates:
1 Ca 0.0000 0.5000 0.0000 x2  2 Rh 2.79
2 In 0.0000 0.0000 0.5000 x1  8 Ca 3.44
3 B 0.5000 0.5000 0.5000 x1  2 Rh 2.02
4 Rh 0.5000 0.5000 0.0000 x1  2 B 2.02

=====

The following is a PBE calculation of a relaxed Dy2TmTh2 crystal, from Alexandria.

Summary:
distance to the lowest polymorph of the same formula: 0.000 kcal/mol of atoms

Unit cell a=8.4173 b=16.1243 c=6.1039 alpha=90.00 beta=126.05 gamma=90.00
Closest atoms and distances in Å follow each position.
Space group C2/c (No. 15)
Inequivalent atoms, fractional coordinates:
1 Dy 0.2373 0.0701 0.0670 x8  2 Tm 3.31-3.42, 2 Th 3.40-3.43, 2 Dy 3.57-3.59
2 Tm 0.0000 0.3977 0.2500 x4  4 Dy 3.31-3.42, 4 Th 3.36-3.41
3 Th 0.1074 0.2186 0.5930 x8  5 Th 3.32-3.60, 2 Tm 3.36-3.41, 2 Dy 3.40-3.43

=====

The following is a PBE calculation of a relaxed HfInAgI6 crystal, from Alexandria.

Summary:
energy relative to the elements, uncorrected: -0.6248 eV/atom

Unit cell a=7.7208 b=7.7208 c=14.7820 alpha=90.00 beta=90.00 gamma=120.00
Closest atoms and distances in Å follow each position.
Space group P-31c (No. 163)
Inequivalent atoms, fractional coordinates:
1 Hf 0.3333 0.6667 0.2500 x2  6 I 2.86
2 In 0.0000 0.0000 0.0000 x2  6 I 3.49
3 Ag 0.3333 0.6667 0.7500 x2  6 I 3.07
4 I 0.0203 0.3771 0.1375 x12  1 Hf 2.86, 1 Ag 3.07

=====

The following is a PBE calculation of a relaxed CaSmY crystal, from Alexandria.

Summary:
distance to the lowest polymorph of the same formula: 0.000 kcal/mol of atoms

Unit cell a=3.6609 b=3.6609 c=15.9152 alpha=90.00 beta=90.00 gamma=90.00
Closest atoms and distances in Å follow each position.
Space group P4/nmm (No. 129, origin choice 2)
Inequivalent atoms, fractional coordinates:
1 Ca 0.2500 0.2500 0.0934 x2  8 Ca 3.66-3.94, 4 Sm 3.80
2 Sm 0.2500 0.2500 0.7322 x2  4 Y 3.54, 4 Sm 3.66, 4 Ca 3.80
3 Y 0.2500 0.2500 0.4199 x2  4 Sm 3.54, 8 Y 3.63-3.66

=====

The following is a PBE calculation of a relaxed Pr4ErTm4 crystal, from Alexandria.

Summary:
distance to the lowest polymorph of the same formula: 0.000 kcal/mol of atoms

Unit cell a=10.7939 b=10.7939 c=5.0544 alpha=90.00 beta=90.00 gamma=90.00
Closest atoms and distances in Å follow each position.
Space group I4/mmm (No. 139)
Inequivalent atoms, fractional coordinates:
1 Pr 0.1666 0.1666 0.0000 x8  2 Er 3.59, 4 Pr 3.59-3.60, 6 Tm 3.60
2 Er 0.0000 0.0000 0.5000 x2  8 Pr 3.59, 4 Tm 3.63
3 Tm 0.0000 0.3362 0.5000 x8  5 Tm 3.54-3.55, 6 Pr 3.60, 1 Er 3.63

=====

The following is a PBE calculation of a relaxed Tb2SbH3 crystal, from Alexandria.

Unit cell a=14.7728 b=3.9100 c=7.1596 alpha=90.00 beta=114.68 gamma=90.00
Closest atoms and distances in Å follow each position.
Space group C2/m (No. 12)
Inequivalent atoms, fractional coordinates:
1 Tb 0.0295 0.0000 0.2692 x4  5 H 2.16-2.31
2 Tb 0.2005 0.5000 0.6824 x4  2 H 2.14-2.29
3 Sb 0.1324 0.5000 0.0461 x4  7 Tb 3.11-3.27, 7 H 3.18-3.45
4 H 0.0631 0.5000 0.4117 x4  3 Tb 2.14-2.16, 2 H 2.40
5 H 0.0948 0.0000 0.6237 x4  1 H 2.13, 2 Tb 2.27-2.31
6 H 0.1930 0.0000 0.4753 x4  1 H 2.13, 2 Tb 2.24-2.29

=====

| no. | total DFT energy (no corrections) (eV/f.u.) |
| --- | --- |
| 1 | -33.86 |
| 2 | -10.58 |
| 3 | -14.76 |
| 4 | -19.46 |
| 5 | -13.21 |
| 6 | -76.41 |
| 7 | -20.70 |
| 8 | -27.45 |
| 9 | -30.47 |
| 10 | -13.07 |
| 11 | -41.34 |
| 12 | -28.16 |